Material: NaSr4Pm3Se8
Method: DFT, PBE-GGA
State: optimized geometry

Results
uncorrected formation energy	-30.312	eV per formula unit
crystal system	trigonal

Structure (CIF):
```
data_NaSr4Pm3Se8
_cell_length_a 8.6220
_cell_length_b 8.6639
_cell_length_c 8.6220
_cell_angle_alpha 119.84
_cell_angle_beta 120.00
_cell_angle_gamma 90.00
_symmetry_space_group_name_H-M 'P 1'
_symmetry_Int_Tables_number 1
loop_
_symmetry_equiv_pos_as_xyz
'x,y,z'
loop_
_atom_site_label
_atom_site_fract_x
_atom_site_fract_y
_atom_site_fract_z
Sr1 0.0000 0.0000 0.5000
Se1 0.7521 0.2627 0.5043
Sr2 0.0000 0.0000 0.0000
Se2 0.2584 0.2627 0.0106
Na1 0.0000 0.5000 0.0000
Se3 0.2541 0.2622 0.5081
Pm1 0.0000 0.5000 0.5000
Pm2 0.5000 0.5000 0.0000
Sr3 0.5000 0.0000 0.0000
Sr4 0.5000 0.0000 0.5000
Se4 0.7522 0.2627 0.0106
Se5 0.7459 0.7378 0.4919
Se6 0.2478 0.7373 0.9894
Pm3 0.5000 0.5000 0.5000
Se7 0.7416 0.7373 0.9894
Se8 0.2479 0.7373 0.4957
```